MgMnNO2 after structural relaxation, computed with PBE+U.

- Space group: No. 123
- Raw total energy: -6.0884 eV/atom

Lattice parameters (Å, degrees): 3.831 3.831 3.686 90.00 90.00 90.00
Element x y z (fractional)
Mg1 0.000 0.000 0.000
Mn1 0.500 0.500 0.500
N1 0.500 0.500 0.000
O1 0.000 0.500 0.500
O2 0.500 0.000 0.500